# Pr5AlSn2 | Alexandria | PBE | optimized geometry
data_Pr5AlSn2
_cell_length_a 9.447
_cell_length_b 10.000
_cell_length_c 10.017
_cell_angle_alpha 90.00
_cell_angle_beta 90.00
_cell_angle_gamma 90.00
_symmetry_space_group_name_H-M 'F m m m'
_symmetry_Int_Tables_number 69
_symmetry_space_group_name_Hall '-F 2 2'
loop_
_atom_site_label
_atom_site_fract_x
_atom_site_fract_y
_atom_site_fract_z
Pr1 0.000 0.000 0.000
Pr2 0.250 0.000 0.250
Pr3 0.250 0.250 0.000
Al1 0.000 0.000 0.500
Sn1 0.000 0.250 0.250
# **Energy**: -4.878 eV/atom
# **Crystal system**: orthorhombic
# **Energy relative to the elements**: -422 meV/atom
# **Density**: 6.8 g/cm3
# **M_tot**: 0.0 μB per cell